First-principles (GGA-PBEsol) data for a relaxed Fe3Co crystal, as listed in Alexandria via LeMat-Bulk.

Cell: 2.7840 3.9544 7.9378 Å, 90.00 90.00 90.00°
Positions (direct):
Fe  0.2500  0.5000  0.3752
Fe  0.2500  0.5000  0.8751
Fe  0.2500  0.0000  0.6265
Fe  0.7500  0.5000  0.6248
Fe  0.7500  0.0000  0.3735
Fe  0.7500  0.5000  0.1249
Co  0.7500  0.0000  0.8747
Co  0.2500  0.0000  0.1253

The symmetry is Pmma. The calculated formation energy is 0.073 eV/f.u. The calculation puts the total energy at -8.6388 eV/atom. For the magnetization, the calculation gives 18.0 μB/cell.

First-principles (GGA-PBEsol) data for a relaxed Cs2AgMoCl6 crystal, as listed in Alexandria via LeMat-Bulk.

Cell: 7.2158 7.2158 7.2158 Å, 60.00 60.00 60.00°
Positions (direct):
Mo  0.0000  0.0000  0.0000
Cl  0.2385  0.7615  0.2385
Cl  0.2385  0.2385  0.7615
Cl  0.7615  0.2385  0.2385
Cl  0.2385  0.7615  0.7615
Cl  0.7615  0.2385  0.7615
Cl  0.7615  0.7615  0.2385
Cs  0.7500  0.7500  0.7500
Cs  0.2500  0.2500  0.2500
Ag  0.5000  0.5000  0.5000

The symmetry is Fm-3m. The calculation puts the total energy at -4.1510 eV/atom. The uncorrected formation energy comes out at -1.250 eV per atom. For the magnetization, the calculation gives 3.0 μB/cell.

First-principles (GGA-PBEsol) data for a relaxed Sr5Li crystal, as listed in Alexandria via LeMat-Bulk.

Cell: 4.5815 6.4561 9.8667 Å, 90.00 103.42 90.00°
Positions (direct):
Sr  0.4728  0.5000  0.9455
Sr  0.1418  0.5000  0.2836
Sr  0.3153  0.0000  0.6306
Sr  0.6278  0.0000  0.2555
Sr  0.8043  0.5000  0.6087
Li  0.9714  0.0000  0.9427

The symmetry is Amm2. The calculated formation energy is 0.254 eV/f.u. The calculation puts the total energy at -1.8191 eV/atom. For the magnetization, the calculation gives 0.0 μB/cell.

First-principles (GGA-PBEsol) data for a relaxed YCoAs3 crystal, as listed in Alexandria via LeMat-Bulk.

Cell: 4.5923 4.5923 4.5923 Å, 90.00 90.00 90.00°
Positions (direct):
As  0.0000  0.0000  0.5000
As  0.0000  0.5000  0.0000
As  0.5000  0.0000  0.0000
Y  0.5000  0.5000  0.5000
Co  0.0000  0.0000  0.0000

The symmetry is Pm-3m. The calculated formation energy is -0.976 eV/f.u. The calculation puts the total energy at -6.1708 eV/atom. For the magnetization, the calculation gives 0.5 μB/cell.

First-principles (GGA-PBEsol) data for a relaxed AlZnCu2 crystal, as listed in Alexandria via LeMat-Bulk.

Cell: 2.9487 4.1230 4.1230 Å, 89.88 90.00 90.00°
Positions (direct):
Cu  0.0000  0.5000  0.0000
Cu  0.0000  0.0000  0.5000
Zn  0.5000  0.0000  0.0000
Al  0.5000  0.5000  0.5000

The symmetry is Cmmm. The calculated formation energy is -0.673 eV/f.u. The calculation puts the total energy at -3.7537 eV/atom. For the magnetization, the calculation gives 0.0 μB/cell.

First-principles (GGA-PBEsol) data for a relaxed ReH3I crystal, as listed in Alexandria via LeMat-Bulk.

Cell: 3.7104 3.7104 3.7104 Å, 90.00 90.00 90.00°
Positions (direct):
I  0.5000  0.5000  0.5000
H  0.0000  0.5000  0.0000
H  0.5000  0.0000  0.0000
H  0.0000  0.0000  0.5000
Re  0.0000  0.0000  0.0000

The symmetry is Pm-3m. The calculation puts the total energy at -4.1097 eV/atom. For the magnetization, the calculation gives 0.0 μB/cell.

First-principles (GGA-PBEsol) data for a relaxed NdMgCu4 crystal, as listed in Alexandria via LeMat-Bulk.

Cell: 5.0825 5.0825 5.0825 Å, 60.00 60.00 60.00°
Positions (direct):
Nd  0.0000  0.0000  0.0000
Mg  0.7500  0.7500  0.7500
Cu  0.8693  0.3769  0.3769
Cu  0.3769  0.3769  0.8693
Cu  0.3769  0.3769  0.3769
Cu  0.3769  0.8693  0.3769

The symmetry is F-43m. The calculated formation energy is -1.097 eV/f.u. The calculation puts the total energy at -4.2196 eV/atom. For the magnetization, the calculation gives 0.0 μB/cell.

First-principles (GGA-PBEsol) data for a relaxed CoTc3Sb crystal, as listed in Alexandria via LeMat-Bulk.

Cell: 4.3818 4.3818 4.3818 Å, 90.00 90.00 90.00°
Positions (direct):
Tc  0.0000  0.0000  0.5000
Tc  0.0000  0.5000  0.0000
Tc  0.5000  0.0000  0.0000
Sb  0.5000  0.5000  0.5000
Co  0.0000  0.0000  0.0000

The symmetry is Pm-3m. The calculation puts the total energy at -8.0124 eV/atom. The uncorrected formation energy comes out at 1.206 eV per atom. For the magnetization, the calculation gives 1.0 μB/cell.

First-principles (GGA-PBEsol) data for a relaxed BaY2Ag2 crystal, as listed in Alexandria via LeMat-Bulk.

Cell: 5.3600 5.3600 6.7304 Å, 113.47 113.47 90.00°
Positions (direct):
Ag  0.7500  0.2500  0.5000
Ag  0.2500  0.7500  0.5000
Y  0.3452  0.3452  0.6903
Y  0.6548  0.6548  0.3097
Ba  0.0000  0.0000  0.0000

The symmetry is I4/mmm. The calculated formation energy is 0.334 eV/f.u. The calculation puts the total energy at -4.4163 eV/atom. For the magnetization, the calculation gives 1.2 μB/cell.

First-principles (GGA-PBEsol) data for a relaxed MoPSe crystal, as listed in Alexandria via LeMat-Bulk.

Cell: 4.2418 4.2418 4.2418 Å, 60.00 60.00 60.00°
Positions (direct):
Se  0.5000  0.5000  0.5000
Mo  0.7500  0.7500  0.7500
P  0.0000  0.0000  0.0000

The symmetry is F-43m. The calculation puts the total energy at -7.0255 eV/atom. The uncorrected formation energy comes out at 0.111 eV per atom. For the magnetization, the calculation gives 1.5 μB/cell.

First-principles (GGA-PBEsol) data for a relaxed CuAsP2 crystal, as listed in Alexandria via LeMat-Bulk.

Cell: 3.8884 3.8929 3.8929 Å, 90.00 90.00 90.00°
Positions (direct):
P  0.0000  0.0000  0.5000
P  0.0000  0.5000  0.0000
As  0.5000  0.5000  0.5000
Cu  0.5000  0.0000  0.0000

The symmetry is P4/mmm. The calculated formation energy is 2.286 eV/f.u. The calculation puts the total energy at -4.6843 eV/atom. For the magnetization, the calculation gives 0.0 μB/cell.

First-principles (GGA-PBEsol) data for a relaxed CrTc2Ni crystal, as listed in Alexandria via LeMat-Bulk.

Cell: 2.6263 2.6263 8.5985 Å, 81.22 81.22 60.00°
Positions (direct):
Tc  0.9986  0.9986  0.0041
Tc  0.7511  0.7511  0.7467
Cr  0.5031  0.5031  0.4908
Ni  0.2472  0.2472  0.2584

The symmetry is R3m. The calculated formation energy is 0.772 eV/f.u. The calculation puts the total energy at -9.5401 eV/atom. For the magnetization, the calculation gives 0.0 μB/cell. The polymorph energy (0 for the lowest one) is 177 meV per atom.

First-principles (GGA-PBEsol) data for a relaxed Mn2NbFeI crystal, as listed in Alexandria via LeMat-Bulk.

Cell: 4.4459 4.6118 4.6118 Å, 90.00 90.00 90.00°
Positions (direct):
I  0.5000  0.5000  0.5000
Mn  0.0000  0.5000  0.0000
Mn  0.0000  0.0000  0.5000
Nb  0.5000  0.0000  0.0000
Fe  0.0000  0.0000  0.0000

The symmetry is P4/mmm. The calculation puts the total energy at -7.2544 eV/atom. The uncorrected formation energy comes out at 0.960 eV per atom. For the magnetization, the calculation gives 7.4 μB/cell.

First-principles (GGA-PBEsol) data for a relaxed Zn2CrIr crystal, as listed in Alexandria via LeMat-Bulk.

Cell: 3.0942 3.0942 5.6959 Å, 90.00 90.00 90.00°
Positions (direct):
Zn  0.0000  0.0000  0.2537
Zn  0.0000  0.0000  0.7463
Ir  0.5000  0.5000  0.5000
Cr  0.5000  0.5000  0.0000

The symmetry is P4/mmm. The calculated formation energy is 0.326 eV/f.u. The calculation puts the total energy at -5.7258 eV/atom. For the magnetization, the calculation gives 3.8 μB/cell. The polymorph energy (0 for the lowest one) is 181 meV per atom.

First-principles (GGA-PBEsol) data for a relaxed Ba2IrPb crystal, as listed in Alexandria via LeMat-Bulk.

Cell: 3.8318 5.4443 6.8316 Å, 113.48 106.29 90.00°
Positions (direct):
Ba  0.9909  0.9909  0.9817
Ba  0.8000  0.3001  0.6000
Pb  0.1852  0.6852  0.3705
Ir  0.5239  0.5238  0.0478

The symmetry is Imm2. The calculated formation energy is -0.445 eV/f.u. The calculation puts the total energy at -4.6412 eV/atom. For the magnetization, the calculation gives 0.0 μB/cell.

First-principles (GGA-PBEsol) data for a relaxed PRhSe2Br crystal, as listed in Alexandria via LeMat-Bulk.

Cell: 4.7604 4.7604 4.8589 Å, 90.00 90.00 90.00°
Positions (direct):
Se  0.5000  0.0000  0.0000
Se  0.0000  0.5000  0.0000
Rh  0.0000  0.0000  0.0000
P  0.5000  0.5000  0.5000
Br  0.0000  0.0000  0.5000

The symmetry is P4/mmm. The calculation puts the total energy at -4.0508 eV/atom. The uncorrected formation energy comes out at 0.649 eV per atom. For the magnetization, the calculation gives 0.0 μB/cell.

First-principles (GGA-PBEsol) data for a relaxed KAgSb4 crystal, as listed in Alexandria via LeMat-Bulk.

Cell: 6.2458 6.2458 6.2458 Å, 60.00 60.00 60.00°
Positions (direct):
Sb  0.3763  0.3763  0.8710
Sb  0.3763  0.3763  0.3763
Sb  0.8710  0.3763  0.3763
Sb  0.3763  0.8710  0.3763
Ag  0.7500  0.7500  0.7500
K  0.0000  0.0000  0.0000

The symmetry is F-43m. The calculation puts the total energy at -3.6529 eV/atom. The uncorrected formation energy comes out at 0.126 eV per atom. For the magnetization, the calculation gives 0.0 μB/cell.

First-principles (GGA-PBEsol) data for a relaxed Tl2CrIn crystal, as listed in Alexandria via LeMat-Bulk.

Cell: 3.2234 3.2234 8.8739 Å, 90.00 90.00 90.00°
Positions (direct):
Tl  0.0000  0.0000  0.9929
Tl  0.5000  0.5000  0.2948
Cr  0.0000  0.0000  0.5090
In  0.5000  0.5000  0.7033

The symmetry is P4mm. The calculated formation energy is 1.419 eV/f.u. The calculation puts the total energy at -4.2665 eV/atom. For the magnetization, the calculation gives 3.7 μB/cell. The polymorph energy (0 for the lowest one) is 0 meV per atom.

First-principles (GGA-PBEsol) data for a relaxed NaTi2P2 crystal, as listed in Alexandria via LeMat-Bulk.

Cell: 4.6610 4.6610 5.5184 Å, 114.98 114.98 90.00°
Positions (direct):
Ti  0.6732  0.6732  0.3465
Ti  0.3268  0.3268  0.6535
P  0.7500  0.2500  0.5000
P  0.2500  0.7500  0.5000
Na  0.0000  0.0000  0.0000

The symmetry is I4/mmm. The calculated formation energy is -1.719 eV/f.u. The calculation puts the total energy at -6.2692 eV/atom. For the magnetization, the calculation gives 0.0 μB/cell.

First-principles (GGA-PBEsol) data for a relaxed Li4MgMo crystal, as listed in Alexandria via LeMat-Bulk.

Cell: 5.1562 5.1562 5.1562 Å, 60.00 60.00 60.00°
Positions (direct):
Li  0.3736  0.3736  0.8793
Li  0.3736  0.8793  0.3736
Li  0.8793  0.3736  0.3736
Li  0.3736  0.3736  0.3736
Mg  0.7500  0.7500  0.7500
Mo  0.0000  0.0000  0.0000

The symmetry is F-43m. The calculated formation energy is 3.018 eV/f.u. The calculation puts the total energy at -3.0556 eV/atom. For the magnetization, the calculation gives 2.4 μB/cell.

First-principles (GGA-PBEsol) data for a relaxed ScBCl2 crystal, as listed in Alexandria via LeMat-Bulk.

Cell: 3.4905 3.4905 8.0722 Å, 77.51 77.51 60.00°
Positions (direct):
Cl  0.1038  0.1038  0.6885
Cl  0.8962  0.8962  0.3115
Sc  0.0000  0.0000  0.0000
B  0.5000  0.5000  0.5000

The symmetry is R-3m. The calculation puts the total energy at -4.1334 eV/atom. The uncorrected formation energy comes out at 0.276 eV per atom. For the magnetization, the calculation gives 0.0 μB/cell.

First-principles (GGA-PBEsol) data for a relaxed MnTl2Hg crystal, as listed in Alexandria via LeMat-Bulk.

Cell: 3.1012 4.5281 7.2942 Å, 108.08 102.27 90.00°
Positions (direct):
Tl  0.6822  0.6822  0.3645
Tl  0.3178  0.3178  0.6355
Mn  0.0000  0.5000  0.0000
Hg  0.5000  0.0000  0.0000

The symmetry is Immm. The calculated formation energy is 1.227 eV/f.u. The calculation puts the total energy at -3.5902 eV/atom. For the magnetization, the calculation gives 3.7 μB/cell. The polymorph energy (0 for the lowest one) is 0 meV per atom.

First-principles (GGA-PBEsol) data for a relaxed Hg4Cl crystal, as listed in Alexandria via LeMat-Bulk.

Cell: 8.7341 8.7341 8.7341 Å, 109.47 109.47 109.47°
Positions (direct):
Hg  0.5000  0.7500  0.2500
Hg  0.7500  0.2500  0.5000
Hg  0.0000  0.3449  0.3449
Hg  0.5000  0.2500  0.7500
Hg  0.2500  0.5000  0.7500
Hg  0.3449  0.0000  0.3449
Hg  0.0000  0.6551  0.6551
Hg  0.7807  0.7807  0.7807
Hg  0.0000  0.2193  0.0000
Hg  0.3449  0.3449  0.0000
Hg  0.2193  0.0000  0.0000
Hg  0.6551  0.0000  0.6551
Hg  0.7500  0.5000  0.2500
Hg  0.6551  0.6551  0.0000
Hg  0.2500  0.7500  0.5000
Hg  0.0000  0.0000  0.2193
Cl  0.0000  0.0000  0.5287
Cl  0.4713  0.4713  0.4713
Cl  0.0000  0.5287  0.0000
Cl  0.5287  0.0000  0.0000

The symmetry is I-43m. The calculation puts the total energy at -0.9578 eV/atom. The uncorrected formation energy comes out at -0.103 eV per atom. For the magnetization, the calculation gives 0.0 μB/cell.

First-principles (GGA-PBEsol) data for a relaxed Al5Zn3 crystal, as listed in Alexandria via LeMat-Bulk.

Cell: 5.0331 7.5473 7.5473 Å, 83.62 70.52 70.52°
Positions (direct):
Zn  0.6758  0.1484  0.5000
Zn  0.7500  0.0000  0.0000
Zn  0.2500  0.0000  0.0000
Zn  0.1758  0.5000  0.1484
Zn  0.8242  0.5000  0.8516
Zn  0.3242  0.8516  0.5000
Al  0.2500  0.5000  0.5000
Al  0.9319  0.8346  0.3015
Al  0.7335  0.8346  0.6985
Al  0.4319  0.3015  0.8346
Al  0.7500  0.5000  0.5000
Al  0.5681  0.6985  0.1654
Al  0.7665  0.3015  0.1654
Al  0.2335  0.6985  0.8346
Al  0.2665  0.1654  0.3015
Al  0.0681  0.1654  0.6985

The symmetry is I4/mcm. The calculated formation energy is 0.750 eV/f.u. The calculation puts the total energy at -3.0566 eV/atom. For the magnetization, the calculation gives 0.0 μB/cell. The polymorph energy (0 for the lowest one) is 64 meV per atom.

First-principles (GGA-PBEsol) data for a relaxed ZrNi4Au crystal, as listed in Alexandria via LeMat-Bulk.

Cell: 4.7661 4.7661 4.7661 Å, 60.00 60.00 60.00°
Positions (direct):
Ni  0.1237  0.6254  0.6254
Ni  0.6254  0.1237  0.6254
Ni  0.6254  0.6254  0.1237
Ni  0.6254  0.6254  0.6254
Au  0.0000  0.0000  0.0000
Zr  0.2500  0.2500  0.2500

The symmetry is F-43m. The calculated formation energy is -2.853 eV/f.u. The calculation puts the total energy at -6.7494 eV/atom. For the magnetization, the calculation gives 0.0 μB/cell.

First-principles (GGA-PBEsol) data for a relaxed Zn5B3Rh7 crystal, as listed in Alexandria via LeMat-Bulk.

Cell: 2.8191 10.9458 11.6163 Å, 90.00 90.00 90.00°
Positions (direct):
Rh  0.0000  0.9211  0.7205
Rh  0.0000  0.3749  0.0368
Rh  0.0000  0.4211  0.2795
Rh  0.0000  0.7500  0.5231
Rh  0.0000  0.0789  0.2795
Rh  0.0000  0.7500  0.1830
Rh  0.0000  0.8749  0.9632
Rh  0.0000  0.6251  0.9632
Rh  0.0000  0.2500  0.8170
Rh  0.0000  0.0000  0.5000
Rh  0.0000  0.1251  0.0368
Rh  0.0000  0.5000  0.5000
Rh  0.0000  0.2500  0.4769
Rh  0.0000  0.5789  0.7205
B  0.5000  0.2500  0.9609
B  0.5000  0.7500  0.0391
B  0.5000  0.3813  0.4069
B  0.5000  0.8813  0.5931
B  0.5000  0.1187  0.4069
B  0.5000  0.6187  0.5931
Zn  0.5000  0.4514  0.8652
Zn  0.5000  0.1293  0.6528
Zn  0.5000  0.5486  0.1348
Zn  0.5000  0.9514  0.1348
Zn  0.5000  0.6293  0.3472
Zn  0.5000  0.0486  0.8652
Zn  0.5000  0.7500  0.8117
Zn  0.5000  0.2500  0.1883
Zn  0.5000  0.8707  0.3472
Zn  0.5000  0.3707  0.6528

The symmetry is Pmma. The calculated formation energy is -6.857 eV/f.u. The calculation puts the total energy at -6.1857 eV/atom. For the magnetization, the calculation gives 0.0 μB/cell.